# 1
CeTiNi17: relaxed, PBE.

Results
calculated total energy	-6.019	eV per atom
density	8.5	Mg/m³

a = 6.1963 Å, b = 6.1963 Å, c = 6.1963 Å
α = 82.63°, β = 82.63°, γ = 82.63°
Fractional coordinates of all 19 atoms:
1 Ce 0.0000 0.0000 0.0000
2 Ti 0.3389 0.3389 0.3389
3 Ni 0.0126 0.0126 0.4926
4 Ni 0.0126 0.4926 0.0126
5 Ni 0.1545 0.6623 0.6623
6 Ni 0.3153 0.3153 0.8021
7 Ni 0.3153 0.8021 0.3153
8 Ni 0.3593 0.6546 0.9617
9 Ni 0.3593 0.9617 0.6546
10 Ni 0.4926 0.0126 0.0126
11 Ni 0.5558 0.5558 0.5558
12 Ni 0.6546 0.3593 0.9617
13 Ni 0.6546 0.9617 0.3593
14 Ni 0.6623 0.1545 0.6623
15 Ni 0.6623 0.6623 0.1545
16 Ni 0.7562 0.7562 0.7562
17 Ni 0.8021 0.3153 0.3153
18 Ni 0.9617 0.3593 0.6546
19 Ni 0.9617 0.6546 0.3593



# 2
CeTiNi: relaxed, PBE.

Results
calculated total energy	-6.546	eV per atom
density	6.7	Mg/m³

a = 4.1460 Å, b = 4.1460 Å, c = 4.0989 Å
α = 90.00°, β = 90.00°, γ = 120.00°
Fractional coordinates of all 3 atoms:
1 Ce 0.0000 0.0000 0.0000
2 Ti 0.3333 0.6667 0.5000
3 Ni 0.6667 0.3333 0.5000



# 3
Ce3TlNi: relaxed, PBE.

Results
calculated total energy	-5.258	eV per atom
density	7.8	Mg/m³

a = 5.2508 Å, b = 5.2508 Å, c = 5.2508 Å
α = 90.00°, β = 90.00°, γ = 90.00°
Fractional coordinates of all 5 atoms:
1 Ce 0.0000 0.0000 0.5000
2 Ce 0.0000 0.5000 0.0000
3 Ce 0.5000 0.0000 0.0000
4 Tl 0.5000 0.5000 0.5000
5 Ni 0.0000 0.0000 0.0000



# 4
Ce6Tl3Ni: relaxed, PBE.

Results
calculated total energy	-4.928	eV per atom
density	8.9	Mg/m³

a = 6.2588 Å, b = 6.2588 Å, c = 8.2461 Å
α = 102.53°, β = 102.53°, γ = 64.86°
Fractional coordinates of all 10 atoms:
1 Ce 0.0873 0.6672 0.6274
2 Ce 0.3328 0.9127 0.3726
3 Ce 0.3536 0.3536 0.1365
4 Ce 0.6464 0.6464 0.8635
5 Ce 0.6672 0.0873 0.6274
6 Ce 0.9127 0.3328 0.3726
7 Tl 0.0000 0.0000 0.0000
8 Tl 0.1760 0.1760 0.7488
9 Tl 0.8240 0.8240 0.2512
10 Ni 0.5000 0.5000 0.5000



# 5
Ce2TlNi2: relaxed, PBE.

Results
calculated total energy	-5.457	eV per atom
density	10.3	Mg/m³

a = 4.6568 Å, b = 4.6568 Å, c = 15.5441 Å
α = 90.00°, β = 90.00°, γ = 120.00°
Fractional coordinates of all 15 atoms:
1 Ce 0.0000 0.0000 0.2136
2 Ce 0.0000 0.0000 0.7864
3 Ce 0.3333 0.6667 0.4531
4 Ce 0.3333 0.6667 0.8802
5 Ce 0.6667 0.3333 0.1198
6 Ce 0.6667 0.3333 0.5469
7 Tl 0.0000 0.0000 0.0000
8 Tl 0.3333 0.6667 0.6667
9 Tl 0.6667 0.3333 0.3333
10 Ni 0.0000 0.0000 0.4176
11 Ni 0.0000 0.0000 0.5824
12 Ni 0.3333 0.6667 0.0842
13 Ni 0.3333 0.6667 0.2491
14 Ni 0.6667 0.3333 0.7509
15 Ni 0.6667 0.3333 0.9158



# 6
Ce11Tl9Ni4: relaxed, PBE.

Results
calculated total energy	-4.858	eV per atom
density	9.8	Mg/m³

a = 13.3412 Å, b = 13.3412 Å, c = 3.7124 Å
α = 90.00°, β = 90.00°, γ = 111.30°
Fractional coordinates of all 24 atoms:
1 Ce 0.0000 0.0000 0.0000
2 Ce 0.0798 0.4237 0.0000
3 Ce 0.1505 0.8495 0.0000
4 Ce 0.3157 0.3157 0.0000
5 Ce 0.3729 0.6271 0.0000
6 Ce 0.4237 0.0798 0.0000
7 Ce 0.5763 0.9202 0.0000
8 Ce 0.6271 0.3729 0.0000
9 Ce 0.6843 0.6843 0.0000
10 Ce 0.8495 0.1505 0.0000
11 Ce 0.9202 0.5763 0.0000
12 Tl 0.0816 0.2241 0.5000
13 Tl 0.1557 0.6384 0.5000
14 Tl 0.2241 0.0816 0.5000
15 Tl 0.3616 0.8443 0.5000
16 Tl 0.5000 0.5000 0.5000
17 Tl 0.6384 0.1557 0.5000
18 Tl 0.7759 0.9184 0.5000
19 Tl 0.8443 0.3616 0.5000
20 Tl 0.9184 0.7759 0.5000
21 Ni 0.2508 0.4533 0.5000
22 Ni 0.4533 0.2508 0.5000
23 Ni 0.5467 0.7492 0.5000
24 Ni 0.7492 0.5467 0.5000



# 7
CeTlNi2: relaxed, PBE.

Results
calculated total energy	-4.988	eV per atom
density	10.3	Mg/m³

a = 3.3200 Å, b = 3.3200 Å, c = 6.7266 Å
α = 90.00°, β = 90.00°, γ = 90.00°
Fractional coordinates of all 4 atoms:
1 Ce 0.0000 0.0000 0.0000
2 Tl 0.0000 0.0000 0.5000
3 Ni 0.5000 0.5000 0.2595
4 Ni 0.5000 0.5000 0.7405



# 8
Ce4Tl5Ni2: relaxed, PBE.

Results
calculated total energy	-4.547	eV per atom
density	10.0	Mg/m³

a = 8.0463 Å, b = 3.6338 Å, c = 9.7342 Å
α = 90.00°, β = 94.72°, γ = 90.00°
Fractional coordinates of all 11 atoms:
1 Ce 0.1875 0.0000 0.3386
2 Ce 0.2082 0.0000 0.9345
3 Ce 0.7918 0.0000 0.0655
4 Ce 0.8125 0.0000 0.6614
5 Tl 0.1551 0.5000 0.6399
6 Tl 0.4583 0.5000 0.1650
7 Tl 0.5000 0.5000 0.5000
8 Tl 0.5417 0.5000 0.8350
9 Tl 0.8449 0.5000 0.3601
10 Ni 0.0725 0.5000 0.1281
11 Ni 0.9275 0.5000 0.8719



# 9
Ce2TlNi: relaxed, PBE.

Results
calculated total energy	-5.241	eV per atom
density	9.4	Mg/m³

a = 3.5934 Å, b = 3.5934 Å, c = 7.4342 Å
α = 90.00°, β = 90.00°, γ = 90.00°
Fractional coordinates of all 4 atoms:
1 Ce 0.0000 0.0000 0.1922
2 Ce 0.0000 0.0000 0.8078
3 Tl 0.5000 0.5000 0.5000
4 Ni 0.5000 0.5000 0.0000



# 10
Ce4TlNi2: relaxed, PBE.

Results
calculated total energy	-5.455	eV per atom
density	8.7	Mg/m³

a = 8.6281 Å, b = 8.6281 Å, c = 8.6281 Å
α = 32.79°, β = 32.79°, γ = 32.79°
Fractional coordinates of all 7 atoms:
1 Ce 0.0993 0.0993 0.0993
2 Ce 0.2822 0.2822 0.2822
3 Ce 0.7178 0.7178 0.7178
4 Ce 0.9007 0.9007 0.9007
5 Tl 0.5000 0.5000 0.5000
6 Ni 0.3899 0.3899 0.3899
7 Ni 0.6101 0.6101 0.6101



# 11
CeTlNi2: relaxed, PBE.

Results
calculated total energy	-5.152	eV per atom
density	10.2	Mg/m³

a = 4.6070 Å, b = 4.6070 Å, c = 12.2444 Å
α = 90.00°, β = 90.00°, γ = 120.00°
Fractional coordinates of all 12 atoms:
1 Ce 0.0000 0.0000 0.0000
2 Ce 0.3333 0.6667 0.6667
3 Ce 0.6667 0.3333 0.3333
4 Tl 0.0000 0.0000 0.5000
5 Tl 0.3333 0.6667 0.1667
6 Tl 0.6667 0.3333 0.8333
7 Ni 0.0000 0.0000 0.2184
8 Ni 0.0000 0.0000 0.7816
9 Ni 0.3333 0.6667 0.4483
10 Ni 0.3333 0.6667 0.8851
11 Ni 0.6667 0.3333 0.1149
12 Ni 0.6667 0.3333 0.5517



# 12
Ce6Tl2Ni: relaxed, PBE.

Results
calculated total energy	-5.288	eV per atom
density	9.0	Mg/m³

a = 6.8295 Å, b = 10.3411 Å, c = 6.8297 Å
α = 90.00°, β = 90.00°, γ = 90.00°
Fractional coordinates of all 18 atoms:
1 Ce 0.0008 0.2382 0.0000
2 Ce 0.2106 0.4999 0.2105
3 Ce 0.2106 0.4999 0.7895
4 Ce 0.2894 0.9999 0.2895
5 Ce 0.2894 0.9999 0.7105
6 Ce 0.4992 0.7382 0.5000
7 Ce 0.5008 0.2618 0.5000
8 Ce 0.7106 0.0001 0.2895
9 Ce 0.7106 0.0001 0.7105
10 Ce 0.7894 0.5001 0.2105
11 Ce 0.7894 0.5001 0.7895
12 Ce 0.9992 0.7618 0.0000
13 Tl 0.0007 0.2501 0.5000
14 Tl 0.4993 0.7501 0.0000
15 Tl 0.5007 0.2499 0.0000
16 Tl 0.9993 0.7499 0.5000
17 Ni 0.0000 0.0000 0.0000
18 Ni 0.5000 0.5000 0.5000